The following is a GGA-PBE calculation of crystalline Mg2TaCd2 at its relaxed geometry, from Alexandria via LeMat-Bulk.

abc: 7.055 7.055 7.055
angles: 146.85 146.85 47.59
Element x y z (fractional)
Mg (0.250, 0.750, 0.500)
Mg (0.750, 0.250, 0.500)
Ta (0.000, 0.000, 0.000)
Cd (0.400, 0.400, 0.000)
Cd (0.600, 0.600, 0.000)

total magnetization = 0.00 μB/atom
space-group type = I4/mmm
energy of formation = 0.586 eV per atom
ρ = 7.212 g/cm3



The following is a GGA-PBE calculation of crystalline MgTa2Cd at its relaxed geometry, from Alexandria via LeMat-Bulk.

abc: 2.878 5.030 5.418
angles: 90.00 103.57 90.00
Element x y z (fractional)
Mg (0.000, 0.000, 0.000)
Ta (0.252, 0.500, 0.753)
Ta (0.748, 0.500, 0.247)
Cd (0.500, 0.000, 0.500)

total magnetization = 0.00 μB/atom
space-group type = P2/m
energy of formation = 0.301 eV per atom
ΔE to the lowest computed polymorph = 194 meV per atom
ρ = 10.859 g/cm3



The following is a GGA-PBE calculation of crystalline Mg2TaCd at its relaxed geometry, from Alexandria via LeMat-Bulk.

abc: 5.963 5.963 5.963
angles: 151.19 127.82 60.70
Element x y z (fractional)
Mg (0.246, 0.246, 0.000)
Mg (0.754, 0.754, 0.000)
Ta (0.500, 0.000, 0.500)
Cd (0.000, 0.500, 0.500)

total magnetization = 0.00 μB/atom
space-group type = Immm
energy of formation = 0.304 eV per atom
ρ = 7.090 g/cm3



The following is a GGA-PBE calculation of crystalline MgTa2Cd at its relaxed geometry, from Alexandria via LeMat-Bulk.

abc: 5.503 5.503 5.503
angles: 137.42 137.42 61.79
Element x y z (fractional)
Mg (0.000, 0.000, 0.000)
Ta (0.250, 0.750, 0.500)
Ta (0.750, 0.250, 0.500)
Cd (0.500, 0.500, 0.000)

total magnetization = 0.00 μB/atom
space-group type = I4/mmm
energy of formation = 0.278 eV per atom
ΔE to the lowest computed polymorph = 170 meV per atom
ρ = 10.983 g/cm3



The following is a GGA-PBE calculation of crystalline MgTaCd2 at its relaxed geometry, from Alexandria via LeMat-Bulk.

abc: 2.982 4.631 6.006
angles: 90.00 103.71 90.00
Element x y z (fractional)
Mg (0.000, 0.000, 0.000)
Ta (0.640, 0.500, 0.275)
Cd (0.241, 0.000, 0.483)
Cd (0.385, 0.500, 0.775)

total magnetization = 0.00 μB/atom
space-group type = Pm
energy of formation = 0.264 eV per atom
ρ = 8.863 g/cm3



The following is a GGA-PBE calculation of crystalline MgTa2Cd at its relaxed geometry, from Alexandria via LeMat-Bulk.

abc: 3.641 3.641 5.726
angles: 90.00 90.00 90.00
Element x y z (fractional)
Mg (0.000, 0.000, 0.000)
Ta (0.500, 0.500, 0.251)
Ta (0.500, 0.500, 0.749)
Cd (0.000, 0.000, 0.500)

total magnetization = 0.00 μB/atom
space-group type = P4/mmm
energy of formation = 0.577 eV per atom
ΔE to the lowest computed polymorph = 469 meV per atom
ρ = 10.909 g/cm3



The following is a GGA-PBE calculation of crystalline MgTaCd2 at its relaxed geometry, from Alexandria via LeMat-Bulk.

abc: 2.976 2.976 8.954
angles: 90.00 90.00 90.00
Element x y z (fractional)
Mg (0.000, 0.000, 0.000)
Ta (0.000, 0.000, 0.500)
Cd (0.500, 0.500, 0.253)
Cd (0.500, 0.500, 0.747)

total magnetization = 0.00 μB/atom
space-group type = P4/mmm
energy of formation = 0.153 eV per atom
ρ = 9.004 g/cm3



The following is a GGA-PBE calculation of crystalline MgTaCd2 at its relaxed geometry, from Alexandria via LeMat-Bulk.

abc: 5.904 5.904 5.484
angles: 116.58 116.58 28.09
Element x y z (fractional)
Mg (0.000, 0.000, 0.000)
Ta (0.255, 0.255, 0.564)
Cd (0.509, 0.509, 0.515)
Cd (0.755, 0.755, 0.069)

total magnetization = 0.00 μB/atom
space-group type = Cm
energy of formation = 0.220 eV per atom
ρ = 8.942 g/cm3



The following is a GGA-PBE calculation of crystalline Mg2TaCd at its relaxed geometry, from Alexandria via LeMat-Bulk.

abc: 5.538 5.538 2.860
angles: 90.00 90.00 113.89
Element x y z (fractional)
Mg (0.000, 0.500, 0.000)
Mg (0.500, 0.000, 0.000)
Ta (0.000, 0.000, 0.500)
Cd (0.500, 0.500, 0.500)

total magnetization = 0.00 μB/atom
space-group type = Cmmm
energy of formation = 0.236 eV per atom
ρ = 7.080 g/cm3



The following is a GGA-PBE calculation of crystalline MgTa2Cd at its relaxed geometry, from Alexandria via LeMat-Bulk.

abc: 10.513 10.513 10.513
angles: 16.04 16.04 16.04
Element x y z (fractional)
Mg (0.000, 0.000, 0.000)
Ta (0.250, 0.250, 0.250)
Ta (0.750, 0.750, 0.750)
Cd (0.500, 0.500, 0.500)

total magnetization = 0.00 μB/atom
space-group type = R-3m
energy of formation = 0.350 eV per atom
ΔE to the lowest computed polymorph = 242 meV per atom
ρ = 10.713 g/cm3



The following is a GGA-PBE calculation of crystalline Mg2TaCd at its relaxed geometry, from Alexandria via LeMat-Bulk.

abc: 5.280 5.280 5.280
angles: 132.12 132.12 70.04
Element x y z (fractional)
Mg (0.000, 0.000, 0.000)
Mg (0.750, 0.250, 0.500)
Ta (0.250, 0.750, 0.500)
Cd (0.500, 0.500, 0.000)

total magnetization = 0.00 μB/atom
space-group type = I-4m2
energy of formation = 0.415 eV per atom
ρ = 7.151 g/cm3



The following is a GGA-PBE calculation of crystalline MgTaCd2 at its relaxed geometry, from Alexandria via LeMat-Bulk.

abc: 2.927 4.540 6.122
angles: 90.00 101.15 90.00
Element x y z (fractional)
Mg (0.000, 0.000, 0.000)
Ta (0.000, 0.000, 0.500)
Cd (0.451, 0.500, 0.257)
Cd (0.549, 0.500, 0.743)

total magnetization = 0.00 μB/atom
space-group type = P2/m
energy of formation = 0.266 eV per atom
ρ = 8.946 g/cm3



The following is a GGA-PBE calculation of crystalline Mg2TaCd at its relaxed geometry, from Alexandria via LeMat-Bulk.

abc: 2.941 2.941 9.268
angles: 90.00 90.00 90.17
Element x y z (fractional)
Mg (0.000, 0.000, 0.240)
Mg (0.000, 0.000, 0.760)
Ta (0.500, 0.500, 0.000)
Cd (0.500, 0.500, 0.500)

total magnetization = 0.00 μB/atom
space-group type = Cmmm
energy of formation = 0.118 eV per atom
ρ = 7.084 g/cm3



The following is a GGA-PBE calculation of crystalline MgTa2Cd at its relaxed geometry, from Alexandria via LeMat-Bulk.

abc: 2.880 2.880 9.326
angles: 90.00 90.00 90.00
Element x y z (fractional)
Mg (0.000, 0.000, 0.000)
Ta (0.000, 0.000, 0.495)
Ta (0.500, 0.500, 0.253)
Cd (0.500, 0.500, 0.746)

total magnetization = 0.00 μB/atom
space-group type = P4mm
energy of formation = 0.171 eV per atom
ΔE to the lowest computed polymorph = 63 meV per atom
ρ = 10.706 g/cm3



The following is a GGA-PBE calculation of crystalline Mg2TaCd at its relaxed geometry, from Alexandria via LeMat-Bulk.

abc: 2.958 4.411 6.150
angles: 90.00 90.00 90.00
Element x y z (fractional)
Mg (0.000, 0.000, 0.238)
Mg (0.000, 0.000, 0.762)
Ta (0.500, 0.500, 0.000)
Cd (0.500, 0.500, 0.500)

total magnetization = 0.00 μB/atom
space-group type = Pmmm
energy of formation = 0.274 eV per atom
ρ = 7.076 g/cm3



The following is a GGA-PBE calculation of crystalline MgTaCd2 at its relaxed geometry, from Alexandria via LeMat-Bulk.

abc: 5.207 5.207 5.207
angles: 130.56 130.56 72.51
Element x y z (fractional)
Mg (0.000, 0.000, 0.000)
Ta (0.500, 0.500, 0.000)
Cd (0.250, 0.750, 0.500)
Cd (0.750, 0.250, 0.500)

total magnetization = 0.00 μB/atom
space-group type = I4/mmm
energy of formation = 0.411 eV per atom
ρ = 8.966 g/cm3



The following is a GGA-PBE calculation of crystalline MgTaCd2 at its relaxed geometry, from Alexandria via LeMat-Bulk.

abc: 5.418 5.418 2.902
angles: 90.00 90.00 111.15
Element x y z (fractional)
Mg (0.000, 0.000, 0.000)
Ta (0.500, 0.500, 0.000)
Cd (0.000, 0.500, 0.500)
Cd (0.500, 0.000, 0.500)

total magnetization = 0.00 μB/atom
space-group type = Cmmm
energy of formation = 0.208 eV per atom
ρ = 8.988 g/cm3



The following is a GGA-PBE calculation of crystalline MgTaCd at its relaxed geometry, from Alexandria via LeMat-Bulk.

abc: 7.291 7.291 7.291
angles: 157.06 157.06 32.66
Element x y z (fractional)
Mg (0.000, 0.000, 0.000)
Ta (0.338, 0.338, 0.000)
Cd (0.673, 0.673, 0.000)

total magnetization = 0.00 μB/atom
space-group type = I4mm
energy of formation = 0.173 eV per atom
ρ = 8.967 g/cm3



The following is a GGA-PBE calculation of crystalline MgTaCd2 at its relaxed geometry, from Alexandria via LeMat-Bulk.

abc: 10.325 10.325 10.325
angles: 16.87 16.87 16.87
Element x y z (fractional)
Mg (0.000, 0.000, 0.000)
Ta (0.500, 0.500, 0.500)
Cd (0.249, 0.249, 0.249)
Cd (0.751, 0.751, 0.751)

total magnetization = 0.00 μB/atom
space-group type = R-3m
energy of formation = 0.207 eV per atom
ρ = 8.828 g/cm3



The following is a GGA-PBE calculation of crystalline Mg2TaCd at its relaxed geometry, from Alexandria via LeMat-Bulk.

abc: 2.951 2.951 9.269
angles: 90.00 90.00 90.00
Element x y z (fractional)
Mg (0.000, 0.000, 0.000)
Mg (0.500, 0.500, 0.269)
Ta (0.000, 0.000, 0.505)
Cd (0.500, 0.500, 0.749)

total magnetization = 0.00 μB/atom
space-group type = P4mm
energy of formation = 0.160 eV per atom
ρ = 7.037 g/cm3